# 1
! AcPr2HoSb4 | Alexandria via LeMat-Bulk | PBE-GGA | optimized geometry; values from VASP
! magnetic moment = 0.000 μB per cell
! ΔE_f (raw) = -1146 meV/atom
&SYSTEM
  ibrav = 0, nat = 8, ntyp = 4
/
ATOMIC_SPECIES
Ac 227.00 Ac.upf
Pr 140.91 Pr.upf
Ho 164.93 Ho.upf
Sb 121.76 Sb.upf
CELL_PARAMETERS angstrom
7.923 0.000 0.000
0.000 4.581 0.000
-2.636 0.000 7.479
ATOMIC_POSITIONS angstrom
Ac 0.000 0.000 0.000
Pr -1.318 2.291 3.739
Pr 2.643 0.000 3.739
Ho 3.961 2.291 0.000
Sb 0.089 0.000 5.639
Sb 1.410 2.291 1.902
Sb 3.876 2.291 5.577
Sb 5.197 0.000 1.840

***

# 2
! NdAl2Pt8 | Alexandria via LeMat-Bulk | PBE-GGA | optimized geometry; values from VASP
! magnetic moment = 0.000 μB per cell
! energy of formation from the pure elements = -423 meV/atom
&SYSTEM
  ibrav = 0, nat = 11, ntyp = 3
/
ATOMIC_SPECIES
Nd 144.24 Nd.upf
Al 26.98 Al.upf
Pt 195.08 Pt.upf
CELL_PARAMETERS angstrom
5.371 0.000 0.000
0.000 5.371 0.000
0.000 0.000 8.032
ATOMIC_POSITIONS angstrom
Nd 0.000 0.000 0.000
Al 0.000 2.685 4.016
Al 2.685 0.000 4.016
Pt 1.362 1.362 2.295
Pt 1.362 1.362 5.737
Pt 1.362 4.009 2.295
Pt 1.362 4.009 5.737
Pt 4.009 1.362 2.295
Pt 4.009 1.362 5.737
Pt 4.009 4.009 2.295
Pt 4.009 4.009 5.737

***

# 3
! Ta3FeNi | Alexandria via LeMat-Bulk | PBE-GGA | optimized geometry; values from VASP
! magnetic moment = 0.000 μB per cell
! energy of formation from the pure elements = 898 meV/atom
&SYSTEM
  ibrav = 0, nat = 5, ntyp = 3
/
ATOMIC_SPECIES
Ta 180.95 Ta.upf
Fe 55.84 Fe.upf
Ni 58.69 Ni.upf
CELL_PARAMETERS angstrom
4.525 0.000 0.000
0.000 4.525 0.000
0.000 0.000 4.525
ATOMIC_POSITIONS angstrom
Ta 0.000 0.000 2.262
Ta 0.000 2.262 0.000
Ta 2.262 0.000 0.000
Fe 0.000 0.000 0.000
Ni 2.262 2.262 2.262

***

# 4
! B2C | Alexandria via LeMat-Bulk | PBE-GGA | optimized geometry; values from VASP
! magnetic moment = 0.000 μB per cell
! energy of formation from the pure elements = 442 meV/atom
&SYSTEM
  ibrav = 0, nat = 12, ntyp = 2
/
ATOMIC_SPECIES
B 10.81 B.upf
C 12.01 C.upf
CELL_PARAMETERS angstrom
4.998 0.000 0.000
0.000 2.466 0.000
-1.103 0.000 6.844
ATOMIC_POSITIONS angstrom
B -0.124 0.000 2.669
B 0.795 1.233 0.476
B 0.468 0.000 6.281
B 0.797 0.000 4.602
B 3.097 0.000 2.243
B 3.426 0.000 0.563
B 3.100 1.233 6.368
B 4.019 0.000 4.176
C 0.743 1.233 2.032
C 2.066 1.233 2.690
C 1.829 1.233 4.154
C 3.152 1.233 4.813

***

# 5
! Ho6CoAg | Alexandria via LeMat-Bulk | PBE-GGA | optimized geometry; values from VASP
! magnetic moment = 0.000 μB per cell
! energy of formation from the pure elements = 16 meV/atom
&SYSTEM
  ibrav = 0, nat = 8, ntyp = 3
/
ATOMIC_SPECIES
Ho 164.93 Ho.upf
Co 58.93 Co.upf
Ag 107.87 Ag.upf
CELL_PARAMETERS angstrom
6.574 0.000 0.000
-3.287 5.701 0.000
-3.278 -1.900 6.366
ATOMIC_POSITIONS angstrom
Ho -0.936 -0.006 1.693
Ho -1.175 3.668 1.694
Ho -2.116 1.759 4.672
Ho 2.125 2.041 1.694
Ho 1.184 0.132 4.672
Ho 0.945 3.806 4.673
Co 0.004 1.900 3.183
Ag 3.287 0.000 0.000

***

# 6
! CsNaZnHg | Alexandria via LeMat-Bulk | PBE-GGA | optimized geometry; values from VASP
! magnetic moment = 0.000 μB per cell
! energy of formation from the pure elements = 34 meV/atom
&SYSTEM
  ibrav = 0, nat = 4, ntyp = 4
/
ATOMIC_SPECIES
Cs 132.91 Cs.upf
Na 22.99 Na.upf
Zn 65.41 Zn.upf
Hg 200.59 Hg.upf
CELL_PARAMETERS angstrom
0.000 4.244 4.244
4.244 0.000 4.244
4.244 4.244 0.000
ATOMIC_POSITIONS angstrom
Cs 0.000 0.000 0.000
Na 4.244 4.244 4.244
Zn 6.366 6.366 6.366
Hg 2.122 2.122 2.122

***

# 7
! FeCuAg2 | Alexandria via LeMat-Bulk | PBE-GGA | optimized geometry; values from VASP
! magnetic moment = 2.925 μB per cell
! energy of formation from the pure elements = 353 meV/atom
&SYSTEM
  ibrav = 0, nat = 4, ntyp = 3
/
ATOMIC_SPECIES
Fe 55.84 Fe.upf
Cu 63.55 Cu.upf
Ag 107.87 Ag.upf
CELL_PARAMETERS angstrom
0.000 3.120 3.120
3.120 0.000 3.120
3.120 3.120 0.000
ATOMIC_POSITIONS angstrom
Fe 0.000 0.000 0.000
Cu 3.120 3.120 3.120
Ag 1.560 1.560 1.560
Ag 4.680 4.680 4.680

***

# 8
! BaCo2Ag | Alexandria via LeMat-Bulk | PBE-GGA | optimized geometry; values from VASP
! magnetic moment = 2.349 μB per cell
! energy of formation from the pure elements = 308 meV/atom
&SYSTEM
  ibrav = 0, nat = 4, ntyp = 3
/
ATOMIC_SPECIES
Ba 137.33 Ba.upf
Co 58.93 Co.upf
Ag 107.87 Ag.upf
CELL_PARAMETERS angstrom
2.202 1.272 5.528
-2.202 1.272 5.528
0.000 -2.543 5.528
ATOMIC_POSITIONS angstrom
Ba 0.000 0.000 0.000
Co 0.000 0.000 2.970
Co 0.000 0.000 13.614
Ag 0.000 0.000 8.292

***

# 9
! CdHg2Ru | Alexandria via LeMat-Bulk | PBE-GGA | optimized geometry; values from VASP
! magnetic moment = 0.717 μB per cell
! energy of formation from the pure elements = 405 meV/atom
&SYSTEM
  ibrav = 0, nat = 4, ntyp = 3
/
ATOMIC_SPECIES
Cd 112.41 Cd.upf
Hg 200.59 Hg.upf
Ru 101.07 Ru.upf
CELL_PARAMETERS angstrom
3.083 0.000 0.000
0.000 4.184 0.000
0.000 0.000 6.056
ATOMIC_POSITIONS angstrom
Cd 0.000 0.000 0.000
Hg 0.000 0.000 3.272
Hg 1.541 2.092 1.604
Ru 1.541 2.092 4.678

***

# 10
! Hf3ScRu | Alexandria via LeMat-Bulk | PBE-GGA | optimized geometry; values from VASP
! magnetic moment = 0.000 μB per cell
! energy of formation from the pure elements = 249 meV/atom
&SYSTEM
  ibrav = 0, nat = 5, ntyp = 3
/
ATOMIC_SPECIES
Hf 178.49 Hf.upf
Sc 44.96 Sc.upf
Ru 101.07 Ru.upf
CELL_PARAMETERS angstrom
4.983 0.000 0.000
0.000 4.983 0.000
0.000 0.000 4.983
ATOMIC_POSITIONS angstrom
Hf 0.000 0.000 2.491
Hf 0.000 2.491 0.000
Hf 2.491 0.000 0.000
Sc 2.491 2.491 2.491
Ru 0.000 0.000 0.000

***

# 11
! ZrZnSb2 | Alexandria via LeMat-Bulk | PBE-GGA | optimized geometry; values from VASP
! magnetic moment = 0.000 μB per cell
! ΔE_f (raw) = -364 meV/atom
&SYSTEM
  ibrav = 0, nat = 4, ntyp = 3
/
ATOMIC_SPECIES
Zr 91.22 Zr.upf
Zn 65.41 Zn.upf
Sb 121.76 Sb.upf
CELL_PARAMETERS angstrom
3.917 0.000 0.000
0.000 4.157 0.000
-1.682 0.000 5.580
ATOMIC_POSITIONS angstrom
Zr 0.000 0.000 0.000
Zn 2.170 2.078 3.561
Sb 0.208 0.000 3.212
Sb 1.968 2.078 0.820

***

# 12
! ZnRe2Au | Alexandria via LeMat-Bulk | PBE-GGA | optimized geometry; values from VASP
! magnetic moment = 0.000 μB per cell
! energy of formation from the pure elements = 704 meV/atom
&SYSTEM
  ibrav = 0, nat = 4, ntyp = 3
/
ATOMIC_SPECIES
Zn 65.41 Zn.upf
Re 186.21 Re.upf
Au 196.97 Au.upf
CELL_PARAMETERS angstrom
4.750 0.000 0.000
0.000 4.750 0.000
0.000 0.000 2.755
ATOMIC_POSITIONS angstrom
Zn 0.000 0.000 0.000
Re 0.000 2.375 1.378
Re 2.375 0.000 1.378
Au 2.375 2.375 0.000

***

# 13
! HgRh3 | Alexandria via LeMat-Bulk | PBE-GGA | optimized geometry; values from VASP
! magnetic moment = 0.000 μB per cell
! energy of formation from the pure elements = 230 meV/atom
&SYSTEM
  ibrav = 0, nat = 4, ntyp = 2
/
ATOMIC_SPECIES
Hg 200.59 Hg.upf
Rh 102.91 Rh.upf
CELL_PARAMETERS angstrom
2.788 -3.981 0.000
2.788 3.981 0.000
0.000 0.000 2.830
ATOMIC_POSITIONS angstrom
Hg 0.000 0.000 0.000
Rh 1.394 1.990 1.415
Rh 1.394 -1.990 1.415
Rh 2.788 0.000 0.000

***

# 14
! NdTmHg | Alexandria via LeMat-Bulk | PBE-GGA | optimized geometry; values from VASP
! magnetic moment = 0.728 μB per cell
! energy of formation from the pure elements = -301 meV/atom
&SYSTEM
  ibrav = 0, nat = 3, ntyp = 3
/
ATOMIC_SPECIES
Nd 144.24 Nd.upf
Tm 168.93 Tm.upf
Hg 200.59 Hg.upf
CELL_PARAMETERS angstrom
-1.828 1.828 6.447
1.828 -1.828 6.447
1.828 1.828 -6.447
ATOMIC_POSITIONS angstrom
Nd 0.000 0.000 0.000
Tm 0.000 0.000 3.964
Hg 0.000 0.000 8.644

***

# 15
! Pm2InBi | Alexandria via LeMat-Bulk | PBE-GGA | optimized geometry; values from VASP
! magnetic moment = 0.001 μB per cell
! energy of formation from the pure elements = -570 meV/atom
&SYSTEM
  ibrav = 0, nat = 4, ntyp = 3
/
ATOMIC_SPECIES
Pm 145.00 Pm.upf
In 114.82 In.upf
Bi 208.98 Bi.upf
CELL_PARAMETERS angstrom
5.114 0.000 0.000
0.000 5.114 0.000
0.000 0.000 4.485
ATOMIC_POSITIONS angstrom
Pm 0.000 2.557 0.000
Pm 2.557 0.000 0.000
In 0.000 0.000 2.243
Bi 2.557 2.557 2.243

***

# 16
! LaSmGaPt | Alexandria via LeMat-Bulk | PBE-GGA | optimized geometry; values from VASP
! magnetic moment = 0.000 μB per cell
! energy of formation from the pure elements = -755 meV/atom
&SYSTEM
  ibrav = 0, nat = 4, ntyp = 4
/
ATOMIC_SPECIES
La 138.91 La.upf
Sm 150.36 Sm.upf
Ga 69.72 Ga.upf
Pt 195.08 Pt.upf
CELL_PARAMETERS angstrom
0.000 3.676 3.676
3.676 0.000 3.676
3.676 3.676 0.000
ATOMIC_POSITIONS angstrom
La 0.000 0.000 0.000
Sm 3.676 3.676 3.676
Ga 5.514 5.514 5.514
Pt 1.838 1.838 1.838

***

# 17
! CaP3O | Alexandria via LeMat-Bulk | PBE-GGA | optimized geometry; values from VASP
! magnetic moment = 0.000 μB per cell
! ΔE_f (raw) = -53 meV/atom
&SYSTEM
  ibrav = 0, nat = 5, ntyp = 3
/
ATOMIC_SPECIES
Ca 40.08 Ca.upf
P 30.97 P.upf
O 16.00 O.upf
CELL_PARAMETERS angstrom
4.310 0.000 0.000
0.000 4.310 0.000
0.000 0.000 4.310
ATOMIC_POSITIONS angstrom
Ca 0.000 0.000 0.000
P 0.000 2.155 2.155
P 2.155 0.000 2.155
P 2.155 2.155 0.000
O 2.155 2.155 2.155

***

# 18
! TbTh2Ni | Alexandria via LeMat-Bulk | PBE-GGA | optimized geometry; values from VASP
! magnetic moment = 0.000 μB per cell
! energy of formation from the pure elements = -217 meV/atom
&SYSTEM
  ibrav = 0, nat = 8, ntyp = 3
/
ATOMIC_SPECIES
Tb 158.93 Tb.upf
Th 232.04 Th.upf
Ni 58.69 Ni.upf
CELL_PARAMETERS angstrom
3.672 0.000 0.000
0.000 9.923 0.000
-1.832 0.000 5.885
ATOMIC_POSITIONS angstrom
Tb -0.002 2.481 1.044
Tb 1.842 7.443 4.841
Th 0.003 0.582 4.276
Th 0.003 4.380 4.276
Th 1.836 5.543 1.609
Th 1.836 9.342 1.609
Ni 0.003 7.443 2.528
Ni 1.837 2.481 3.357

***

# 19
! MgCoSi2 | Alexandria via LeMat-Bulk | PBE-GGA | optimized geometry; values from VASP
! magnetic moment = 0.139 μB per cell
! ΔE_f (raw) = -176 meV/atom
&SYSTEM
  ibrav = 0, nat = 4, ntyp = 3
/
ATOMIC_SPECIES
Mg 24.30 Mg.upf
Co 58.93 Co.upf
Si 28.09 Si.upf
CELL_PARAMETERS angstrom
1.954 -1.961 0.000
1.954 1.961 0.000
0.000 0.000 7.167
ATOMIC_POSITIONS angstrom
Mg 0.000 0.000 0.000
Co 0.000 0.000 3.583
Si 1.954 0.000 2.157
Si 1.954 0.000 5.009

***

# 20
! YLuGaPd | Alexandria via LeMat-Bulk | PBE-GGA | optimized geometry; values from VASP
! magnetic moment = 0.001 μB per cell
! energy of formation from the pure elements = -729 meV/atom
&SYSTEM
  ibrav = 0, nat = 4, ntyp = 4
/
ATOMIC_SPECIES
Y 88.91 Y.upf
Lu 174.97 Lu.upf
Ga 69.72 Ga.upf
Pd 106.42 Pd.upf
CELL_PARAMETERS angstrom
0.000 3.518 3.518
3.518 0.000 3.518
3.518 3.518 0.000
ATOMIC_POSITIONS angstrom
Y 0.000 0.000 0.000
Lu 3.518 3.518 3.518
Ga 1.759 1.759 1.759
Pd 5.277 5.277 5.277

***

# 21
! Nd5PuSb4 | Alexandria via LeMat-Bulk | PBE-GGA | optimized geometry; values from VASP
! magnetic moment = 5.731 μB per cell
! ΔE_f (raw) = -688 meV/atom
&SYSTEM
  ibrav = 0, nat = 10, ntyp = 3
/
ATOMIC_SPECIES
Nd 144.24 Nd.upf
Pu 244.00 Pu.upf
Sb 121.76 Sb.upf
CELL_PARAMETERS angstrom
9.619 -2.208 0.000
9.619 2.208 0.000
-2.259 0.000 8.398
ATOMIC_POSITIONS angstrom
Nd 0.000 0.000 0.000
Nd 5.945 0.000 1.271
Nd 4.948 0.000 5.634
Nd 12.032 0.000 2.764
Nd 11.035 0.000 7.128
Pu -1.129 0.000 4.199
Sb 1.902 0.000 4.953
Sb 8.947 0.000 2.098
Sb 8.033 0.000 6.300
Sb 15.078 0.000 3.445

***

# 22
! ErTm3Ru4 | Alexandria via LeMat-Bulk | PBE-GGA | optimized geometry; values from VASP
! magnetic moment = 0.000 μB per cell
! energy of formation from the pure elements = -407 meV/atom
&SYSTEM
  ibrav = 0, nat = 8, ntyp = 3
/
ATOMIC_SPECIES
Er 167.26 Er.upf
Tm 168.93 Tm.upf
Ru 101.07 Ru.upf
CELL_PARAMETERS angstrom
4.747 0.000 0.000
0.000 4.747 0.000
0.000 0.000 6.727
ATOMIC_POSITIONS angstrom
Er 0.000 0.000 0.000
Tm 0.000 0.000 3.363
Tm 2.373 2.373 0.000
Tm 2.373 2.373 3.363
Ru 0.000 2.373 1.686
Ru 0.000 2.373 5.041
Ru 2.373 0.000 1.686
Ru 2.373 0.000 5.041

***

# 23
! BaCdPb2F8 | Alexandria via LeMat-Bulk | PBE-GGA | optimized geometry; values from VASP
! magnetic moment = 0.000 μB per cell
! ΔE_f (raw) = -2704 meV/atom
&SYSTEM
  ibrav = 0, nat = 12, ntyp = 4
/
ATOMIC_SPECIES
Ba 137.33 Ba.upf
Cd 112.41 Cd.upf
Pb 207.20 Pb.upf
F 19.00 F.upf
CELL_PARAMETERS angstrom
4.250 0.000 0.000
0.000 8.332 0.000
-0.008 0.000 5.918
ATOMIC_POSITIONS angstrom
Ba 0.000 0.000 0.000
Cd 0.000 4.166 0.000
Pb 2.121 2.218 2.959
Pb 2.121 6.114 2.959
F -0.004 2.306 4.469
F -0.004 6.026 4.469
F 2.119 4.166 1.366
F 2.124 0.000 1.556
F 2.117 0.000 4.362
F 2.123 4.166 4.552
F 4.246 2.306 1.449
F 4.246 6.026 1.449

***

# 24
! SrLa2Be | Alexandria via LeMat-Bulk | PBE-GGA | optimized geometry; values from VASP
! magnetic moment = 1.834 μB per cell
! energy of formation from the pure elements = 534 meV/atom
&SYSTEM
  ibrav = 0, nat = 4, ntyp = 3
/
ATOMIC_SPECIES
Sr 87.62 Sr.upf
La 138.91 La.upf
Be 9.01 Be.upf
CELL_PARAMETERS angstrom
0.000 3.950 3.950
3.950 0.000 3.950
3.950 3.950 0.000
ATOMIC_POSITIONS angstrom
Sr 0.000 0.000 0.000
La 1.975 1.975 1.975
La 3.950 3.950 3.950
Be 5.925 5.925 5.925

***

# 25
! KBeRu | Alexandria via LeMat-Bulk | PBE-GGA | optimized geometry; values from VASP
! magnetic moment = 1.769 μB per cell
! energy of formation from the pure elements = 2401 meV/atom
&SYSTEM
  ibrav = 0, nat = 3, ntyp = 3
/
ATOMIC_SPECIES
K 39.10 K.upf
Be 9.01 Be.upf
Ru 101.07 Ru.upf
CELL_PARAMETERS angstrom
0.000 3.309 3.309
3.309 0.000 3.309
3.309 3.309 0.000
ATOMIC_POSITIONS angstrom
K 0.000 0.000 0.000
Be 4.964 4.964 4.964
Ru 1.655 1.655 1.655

***

# 26
! PuCuSb3 | Alexandria via LeMat-Bulk | PBE-GGA | optimized geometry; values from VASP
! magnetic moment = 21.792 μB per cell
! ΔE_f (raw) = -276 meV/atom
&SYSTEM
  ibrav = 0, nat = 20, ntyp = 3
/
ATOMIC_SPECIES
Pu 244.00 Pu.upf
Cu 63.55 Cu.upf
Sb 121.76 Sb.upf
CELL_PARAMETERS angstrom
12.407 0.000 0.000
0.000 6.225 0.000
0.000 0.000 6.165
ATOMIC_POSITIONS angstrom
Pu 2.402 0.008 1.541
Pu 2.402 3.104 4.624
Pu 10.005 3.121 1.541
Pu 10.005 6.217 4.624
Cu 4.870 4.669 0.000
Cu 4.870 4.669 3.083
Cu 7.537 1.556 0.000
Cu 7.537 1.556 3.083
Sb 0.022 4.669 0.000
Sb 0.022 4.669 3.083
Sb 3.224 0.011 4.624
Sb 3.224 3.102 1.541
Sb 5.474 0.766 1.541
Sb 5.474 2.347 4.624
Sb 6.933 3.878 1.541
Sb 6.933 5.459 4.624
Sb 9.183 3.124 4.624
Sb 9.183 6.214 1.541
Sb 12.385 1.556 0.000
Sb 12.385 1.556 3.083